(1)
A plane-wave DFT calculation with PBE was carried out for a relaxed structure of KSmHg.

Cell lengths 7.5878, 7.5878, 7.5878 Å; angles 90.00, 90.00, 90.00 degrees
With the nearest neighbours (Å) after each atom.
Space group F-43m (No. 216)
Asymmetric unit:
K (0.0000, 0.0000, 0.0000)  4 Sm 3.29
Sm (0.2500, 0.2500, 0.7500)  4 K 3.29, 4 Hg 3.29
Hg (0.0000, 0.0000, 0.5000)  4 Sm 3.29

Distance to the lowest polymorph of the same formula ... 0.0 meV/atom
E ... -1.574 eV/atom

***

(2)
A plane-wave DFT calculation with PBE was carried out for a relaxed structure of KSmHgTe3.

Cell lengths 16.1164, 4.5589, 12.1642 Å; angles 90.00, 90.00, 90.00 degrees
With the nearest neighbours (Å) after each atom.
Space group Pnma (No. 62)
Asymmetric unit:
K (0.2330, 0.2500, 0.0545)  6 Te 3.54-3.83
Sm (0.0214, 0.2500, 0.3464)  6 Te 3.09-3.32
Hg (0.0153, 0.7500, 0.1061)  4 Te 2.82-3.07
Te (0.0962, 0.7500, 0.8779)  3 Hg 2.91-3.07
Te (0.1000, 0.2500, 0.5782)  3 Sm 3.09-3.14
Te (0.1450, 0.7500, 0.2613)  1 Hg 2.82

Distance to the lowest polymorph of the same formula ... 17.0 meV/atom
E ... -3.548 eV/atom

***

(3)
A plane-wave DFT calculation with PBE was carried out for a relaxed structure of KSmHgTe3.

Cell lengths 11.9644, 4.5371, 16.0662 Å; angles 90.00, 90.00, 90.00 degrees
With the nearest neighbours (Å) after each atom.
Space group Pnma (No. 62)
Asymmetric unit:
K (0.2301, 0.2500, 0.0085)  7 Te 3.71-3.81, 2 Hg 3.99
Sm (0.0160, 0.7500, 0.7463)  6 Te 3.18-3.25
Hg (0.2390, 0.7500, 0.2127)  4 Te 2.82-2.93
Te (0.0365, 0.7500, 0.1208)  1 Hg 2.84
Te (0.0667, 0.2500, 0.6128)  1 Hg 2.82
Te (0.2357, 0.2500, 0.3276)  2 Hg 2.93, 2 Sm 3.24-3.25

Distance to the lowest polymorph of the same formula ... 0.1 meV/atom
E ... -3.565 eV/atom

***

(4)
A plane-wave DFT calculation with PBE was carried out for a relaxed structure of KSmHgTe3.

Cell lengths 4.5407, 16.0403, 11.9210 Å; angles 90.00, 90.00, 90.00 degrees
With the nearest neighbours (Å) after each atom.
Space group Cmcm (No. 63)
Asymmetric unit:
K (0.0000, 0.2422, 0.2500)  8 Te 3.68-4.10, 2 Hg 3.98
Sm (0.0000, 0.0000, 0.0000)  6 Te 3.18-3.23
Hg (0.0000, 0.4615, 0.7500)  4 Te 2.82-2.93
Te (0.0000, 0.0771, 0.7500)  2 Hg 2.93, 2 Sm 3.23
Te (0.0000, 0.3662, 0.5507)  1 Hg 2.82

Distance to the lowest polymorph of the same formula ... 0.0 meV/atom
E ... -3.566 eV/atom

***

(5)
A plane-wave DFT calculation with PBE was carried out for a relaxed structure of KSmHgTe3.

Cell lengths 20.6419, 4.5131, 9.6603 Å; angles 90.00, 102.09, 90.00 degrees
With the nearest neighbours (Å) after each atom.
Space group C2/m (No. 12)
Asymmetric unit:
K (0.1372, 0.0000, 0.0701)  7 Te 3.53-3.80
Sm (0.1743, 0.0000, 0.5793)  5 Te 3.09-3.15
Hg (0.0325, 0.5000, 0.7211)  4 Te 2.90-3.08
Te (0.0000, 0.0000, 0.5000)  4 Hg 3.08
Te (0.0000, 0.5000, 0.0000)  2 Hg 2.91
Te (0.1726, 0.5000, 0.3569)  3 Sm 3.09-3.11
Te (0.1756, 0.5000, 0.8069)  1 Hg 2.90, 2 Sm 3.15

Distance to the lowest polymorph of the same formula ... 92.2 meV/atom
E ... -3.473 eV/atom

***

(6)
A plane-wave DFT calculation with PBE was carried out for a relaxed structure of KSmHgTe3.

Cell lengths 9.1553, 4.5597, 11.2186 Å; angles 90.00, 107.43, 90.00 degrees
With the nearest neighbours (Å) after each atom.
Space group P2_1/m (No. 11)
Asymmetric unit:
K (0.2444, 0.2500, 0.2784)  6 Te 3.54-3.83
Sm (0.3162, 0.7500, 0.8620)  6 Te 3.09-3.33
Hg (0.0877, 0.2500, 0.6175)  4 Te 2.80-3.09
Te (0.0717, 0.2500, 0.8630)  1 Hg 2.80
Te (0.2469, 0.7500, 0.5532)  3 Hg 2.91-3.09
Te (0.4520, 0.7500, 0.1499)  3 Sm 3.09-3.14

Distance to the lowest polymorph of the same formula ... 18.6 meV/atom
E ... -3.547 eV/atom

***

(7)
A plane-wave DFT calculation with PBE was carried out for a relaxed structure of KSmHgTe3.

Cell lengths 9.0509, 4.7678, 18.7685 Å; angles 90.00, 90.00, 90.00 degrees
With the nearest neighbours (Å) after each atom.
Space group Pnma (No. 62)
Asymmetric unit:
K (0.0855, 0.2500, 0.1930)  6 Te 3.53-3.61, 2 Hg 3.79
Sm (0.2231, 0.2500, 0.9590)  5 Te 3.11-3.33
Hg (0.0428, 0.2500, 0.6630)  4 Te 2.85-3.11
Te (0.0029, 0.2500, 0.4258)  2 Hg 2.94
Te (0.1293, 0.7500, 0.0552)  3 Sm 3.11-3.20
Te (0.2122, 0.2500, 0.7911)  2 Hg 2.85-3.11, 1 Sm 3.15

Distance to the lowest polymorph of the same formula ... 84.7 meV/atom
E ... -3.481 eV/atom

***

(8)
A plane-wave DFT calculation with PBE was carried out for a relaxed structure of KSnHg.

Cell lengths 7.4557, 7.4557, 7.4557 Å; angles 90.00, 90.00, 90.00 degrees
With the nearest neighbours (Å) after each atom.
Space group F-43m (No. 216)
Asymmetric unit:
K (0.0000, 0.0000, 0.0000)  4 Hg 3.23
Sn (0.0000, 0.0000, 0.5000)  4 Hg 3.23
Hg (0.2500, 0.2500, 0.2500)  4 Sn 3.23, 4 K 3.23

Distance to the lowest polymorph of the same formula ... 0.0 meV/atom
E ... -1.831 eV/atom